A plane-wave DFT calculation with PBE-GGA was carried out for an optimized crystal structure of GeH3Cl2.

Cell: 4.125 8.728 8.728 Å, 78.83 89.18 89.18°
Fractional coordinates of all 12 atoms:
H 0.596 0.630 0.703
H 0.904 0.297 0.370
H 0.250 0.186 0.814
H 0.750 0.814 0.186
H 0.096 0.703 0.630
H 0.404 0.370 0.297
Ge 0.750 0.952 0.048
Ge 0.250 0.048 0.952
Cl 0.698 0.209 0.462
Cl 0.198 0.462 0.209
Cl 0.302 0.791 0.538
Cl 0.802 0.538 0.791

The calculation puts the total DFT energy (no corrections) at -38.88 eV/cell.